Computed, not measured: a geometry-optimized TeH2Cl8 structure at the PBE level of DFT.

Properties
Total DFT energy (no corrections) (eV/atom): -2.6517
Spin magnetization (μB per formula unit): 0.000
Mass density (g/cm3): 1.8

Cell: 12.0802 8.6721 7.1769 Å, 90.00 94.39 90.00°
Last column: nearest neighbours and their distance in Å.
Space group C2/m (No. 12)
One atom of each set of equivalent atoms:
Te1 0.0000 0.0000 0.0000 [2 per cell]  6 Cl 2.38
H1 0.2485 0.5000 0.6177 [4 per cell]  1 Cl 1.29
Cl1 0.0899 0.1939 0.1918 [8 per cell]  1 Te 2.38
Cl2 0.1509 0.0000 0.8065 [4 per cell]  1 Te 2.38
Cl3 0.1581 0.5000 0.5090 [4 per cell]  1 H 1.29